DFT (PBE-GGA) results for crystalline TbNdMgIr at its relaxed geometry.

Unit cell a=5.1226 b=5.1226 c=5.1226 alpha=60.00 beta=60.00 gamma=60.00
Element x y z (fractional)
Nd  0.5000  0.5000  0.5000
Mg  0.7500  0.7500  0.7500
Ir  0.2500  0.2500  0.2500
Tb  0.0000  0.0000  0.0000

Properties
Formation enthalpy at 0 K (meV per atom): -362



DFT (PBE-GGA) results for crystalline NdYMgIr at its relaxed geometry.

Unit cell a=5.1189 b=5.1189 c=5.1189 alpha=60.00 beta=60.00 gamma=60.00
Element x y z (fractional)
Y  0.5000  0.5000  0.5000
Mg  0.2500  0.2500  0.2500
Ir  0.7500  0.7500  0.7500
Nd  0.0000  0.0000  0.0000

Properties
Formation enthalpy at 0 K (meV per atom): -371



DFT (PBE-GGA) results for crystalline MgNi2Ir at its relaxed geometry.

Unit cell a=3.6481 b=3.7888 c=3.7888 alpha=90.00 beta=90.00 gamma=90.00
Last column: magnetic moment on the atom in μB.
Element x y z (fractional)
Ir  0.5000  0.5000  0.0000  0.21
Mg  0.5000  0.0000  0.5000  0.00
Ni  0.0000  0.0000  0.0000  0.44
Ni  0.0000  0.5000  0.5000  0.44

Properties
Formation enthalpy at 0 K (meV per atom): -91



DFT (PBE-GGA) results for crystalline MgNi2Ir at its relaxed geometry.

Unit cell a=3.6706 b=3.6706 c=9.0328 alpha=78.28 beta=78.28 gamma=90.00
Last column: magnetic moment on the atom in μB.
Element x y z (fractional)
Ni  0.6500  0.1250  0.2500  0.13
Ni  0.1000  0.6250  0.2500  0.13
Ni  0.3750  0.3500  0.7500  0.13
Ni  0.8750  0.9000  0.7500  0.13
Mg  0.5000  0.5000  0.0000  0.00
Mg  0.2500  0.7500  0.5000  0.00
Ir  0.0000  0.0000  0.0000  0.08
Ir  0.7500  0.2500  0.5000  0.08

Properties
Formation enthalpy at 0 K (meV per atom): 334



DFT (PBE-GGA) results for crystalline MgNi2Ir at its relaxed geometry.

Unit cell a=2.7074 b=2.7074 c=7.2875 alpha=90.00 beta=90.00 gamma=90.00
Element x y z (fractional)
Ir  0.5000  0.5000  0.2500
Mg  0.5000  0.5000  0.7500
Ni  0.0000  0.0000  0.0118
Ni  0.0000  0.0000  0.4882

Properties
Formation enthalpy at 0 K (meV per atom): -44



DFT (PBE-GGA) results for crystalline MgNiIr2 at its relaxed geometry.

Unit cell a=4.3176 b=4.3176 c=4.3176 alpha=60.00 beta=60.00 gamma=60.00
Element x y z (fractional)
Ir  0.0000  0.0000  0.0000
Ir  0.7500  0.7500  0.7500
Mg  0.5000  0.5000  0.5000
Ni  0.2500  0.2500  0.2500

Properties
Formation enthalpy at 0 K (meV per atom): 43



DFT (PBE-GGA) results for crystalline MgNi2Ir at its relaxed geometry.

Unit cell a=4.4817 b=4.4817 c=4.4817 alpha=129.37 beta=129.34 gamma=74.44
Last column: magnetic moment on the atom in μB.
Element x y z (fractional)
Ir  0.7500  0.2500  0.5000  0.14
Mg  0.2500  0.7500  0.5000  0.00
Ni  0.0000  0.0000  0.0000  0.23
Ni  0.5000  0.5000  0.0000  0.23

Properties
Formation enthalpy at 0 K (meV per atom): -87



DFT (PBE-GGA) results for crystalline MgNi2Ir at its relaxed geometry.

Unit cell a=4.5917 b=4.5917 c=4.5917 alpha=131.85 beta=131.85 gamma=70.46
Last column: magnetic moment on the atom in μB.
Element x y z (fractional)
Ir  0.5000  0.5000  0.0000  0.42
Mg  0.7500  0.2500  0.5000  -0.01
Ni  0.0000  0.0000  0.0000  0.44
Ni  0.2500  0.7500  0.5000  0.73

Properties
Formation enthalpy at 0 K (meV per atom): -71



DFT (PBE-GGA) results for crystalline MgNi2Ir at its relaxed geometry.

Unit cell a=3.7274 b=2.6686 c=5.9730 alpha=63.59 beta=90.00 gamma=90.00
Element x y z (fractional)
Ir  0.5000  0.2500  0.2500
Mg  0.5000  0.7500  0.7500
Ni  0.0000  0.9812  0.0186
Ni  0.0000  0.5188  0.4814

Properties
Formation enthalpy at 0 K (meV per atom): -82



DFT (PBE-GGA) results for crystalline MgNi2Ir at its relaxed geometry.

Unit cell a=4.2134 b=4.2134 c=4.2134 alpha=60.00 beta=60.00 gamma=60.00
Last column: magnetic moment on the atom in μB.
Element x y z (fractional)
Ir  0.5000  0.5000  0.5000  0.60
Mg  0.7500  0.7500  0.7500  0.00
Ni  0.0000  0.0000  0.0000  0.50
Ni  0.2500  0.2500  0.2500  0.83

Properties
Formation enthalpy at 0 K (meV per atom): 6



DFT (PBE-GGA) results for crystalline MgNiIr2 at its relaxed geometry.

Unit cell a=4.6844 b=4.6844 c=4.6844 alpha=131.59 beta=131.59 gamma=70.88
Last column: magnetic moment on the atom in μB.
Element x y z (fractional)
Ir  0.0000  0.0000  0.0000  0.20
Ir  0.5000  0.5000  0.0000  0.20
Mg  0.2500  0.7500  0.5000  0.00
Ni  0.7500  0.2500  0.5000  0.48

Properties
Formation enthalpy at 0 K (meV per atom): -44



DFT (PBE-GGA) results for crystalline MgNi3Ir at its relaxed geometry.

Unit cell a=5.7835 b=6.1406 c=7.5898 alpha=90.00 beta=89.99 gamma=90.00
Last column: magnetic moment on the atom in μB.
Element x y z (fractional)
Mg  0.2582  0.1255  0.5001  0.00
Mg  0.7418  0.8745  0.4999  0.00
Mg  0.7582  0.3746  0.0001  0.00
Mg  0.2418  0.6254  0.9999  0.00
Ni  0.6313  0.1466  0.2593  0.12
Ni  0.1312  0.3534  0.7593  0.12
Ni  0.5001  0.5001  0.3212  0.18
Ni  0.9999  0.0001  0.1787  0.18
Ni  0.4999  0.4999  0.6788  0.18
Ni  0.3687  0.8534  0.7407  0.12
Ni  0.3684  0.8534  0.2592  0.12
Ni  0.6316  0.1466  0.7408  0.12
Ni  0.8688  0.6466  0.2407  0.12
Ni  0.0001  0.9999  0.8213  0.18
Ni  0.8685  0.6466  0.7592  0.12
Ni  0.1315  0.3534  0.2408  0.12
Ir  0.1685  0.6336  0.5000  0.07
Ir  0.3315  0.1336  0.0000  0.07
Ir  0.8315  0.3664  0.5000  0.07
Ir  0.6685  0.8664  0.0000  0.07

Properties
Excess energy over the best structure of this formula in the dataset (meV/atom): 0
Formation enthalpy at 0 K (meV per atom): 33



DFT (PBE-GGA) results for crystalline MgNi2Ir2 at its relaxed geometry.

Unit cell a=3.5029 b=3.5029 c=6.5351 alpha=74.45 beta=74.45 gamma=90.00
Element x y z (fractional)
Ni  0.7500  0.2500  0.5000
Ni  0.2500  0.7500  0.5000
Mg  0.0000  0.0000  0.0000
Ir  0.3966  0.3966  0.2067
Ir  0.6034  0.6034  0.7933

Properties
Excess energy over the best structure of this formula in the dataset (meV/atom): 152
Formation enthalpy at 0 K (meV per atom): 166



DFT (PBE-GGA) results for crystalline MgNiIr2 at its relaxed geometry.

Unit cell a=4.6513 b=4.6513 c=4.7270 alpha=79.31 beta=79.31 gamma=34.33
Last column: magnetic moment on the atom in μB.
Element x y z (fractional)
Ir  0.9915  0.9915  0.0142  0.12
Ir  0.5085  0.5085  0.4858  0.12
Mg  0.7500  0.7500  0.7500  0.00
Ni  0.2500  0.2500  0.2500  0.43

Properties
Formation enthalpy at 0 K (meV per atom): -147



DFT (PBE-GGA) results for crystalline MgNiIr2 at its relaxed geometry.

Unit cell a=3.7974 b=3.8352 c=3.8352 alpha=90.00 beta=90.00 gamma=90.00
Element x y z (fractional)
Ir  0.0000  0.0000  0.0000
Ir  0.0000  0.5000  0.5000
Mg  0.5000  0.5000  0.0000
Ni  0.5000  0.0000  0.5000

Properties
Formation enthalpy at 0 K (meV per atom): -104



DFT (PBE-GGA) results for crystalline MgNiIr2 at its relaxed geometry.

Unit cell a=3.0060 b=3.0060 c=6.2519 alpha=90.00 beta=90.00 gamma=90.00
Last column: magnetic moment on the atom in μB.
Element x y z (fractional)
Ir  0.0000  0.0000  0.9742  0.32
Ir  0.0000  0.0000  0.5258  0.32
Mg  0.5000  0.5000  0.2500  0.00
Ni  0.5000  0.5000  0.7500  0.59

Properties
Formation enthalpy at 0 K (meV per atom): -20



DFT (PBE-GGA) results for crystalline MgNiIr2 at its relaxed geometry.

Unit cell a=3.8500 b=2.7462 c=6.0335 alpha=63.04 beta=90.00 gamma=90.00
Element x y z (fractional)
Ir  0.0000  0.9957  0.0037
Ir  0.5000  0.2690  0.2312
Mg  0.0000  0.4890  0.5115
Ni  0.5000  0.7463  0.7535

Properties
Formation enthalpy at 0 K (meV per atom): -99



DFT (PBE-GGA) results for crystalline MgNiIr3 at its relaxed geometry.

Unit cell a=4.4517 b=4.4517 c=4.4517 alpha=90.00 beta=90.00 gamma=90.00
Last column: magnetic moment on the atom in μB.
Element x y z (fractional)
Ni  0.5000  0.5000  0.5000  1.06
Mg  0.0000  0.0000  0.0000  -0.01
Ir  0.0000  0.5000  0.0000  0.42
Ir  0.0000  0.0000  0.5000  0.36
Ir  0.5000  0.0000  0.0000  0.52

Properties
Excess energy over the best structure of this formula in the dataset (meV/atom): 753
Formation enthalpy at 0 K (meV per atom): 1868



DFT (PBE-GGA) results for crystalline MgNi2Ir at its relaxed geometry.

Unit cell a=2.6938 b=3.6670 c=5.3947 alpha=90.00 beta=90.00 gamma=90.00
Last column: magnetic moment on the atom in μB.
Element x y z (fractional)
Ir  0.0000  0.0000  0.4783  0.42
Mg  0.5000  0.5000  0.7607  -0.01
Ni  0.0000  0.0000  0.0124  0.31
Ni  0.5000  0.5000  0.2486  0.57

Properties
Formation enthalpy at 0 K (meV per atom): -29



DFT (PBE-GGA) results for crystalline MgNiIr2 at its relaxed geometry.

Unit cell a=4.7294 b=4.7294 c=4.5917 alpha=79.99 beta=79.99 gamma=34.09
Element x y z (fractional)
Ir  0.9992  0.9992  0.9782
Ir  0.7430  0.7430  0.7857
Mg  0.5015  0.5015  0.4756
Ni  0.2563  0.2563  0.2605

Properties
Formation enthalpy at 0 K (meV per atom): -145



DFT (PBE-GGA) results for crystalline MgNi3Ir at its relaxed geometry.

Unit cell a=4.5565 b=4.5565 c=4.5565 alpha=90.00 beta=90.00 gamma=90.00
Last column: magnetic moment on the atom in μB.
Element x y z (fractional)
Ni  0.0000  0.5000  0.0000  0.67
Ni  0.0000  0.0000  0.5000  0.99
Ni  0.5000  0.0000  0.0000  0.34
Mg  0.5000  0.5000  0.5000  0.00
Ir  0.0000  0.0000  0.0000  0.70

Properties
Excess energy over the best structure of this formula in the dataset (meV/atom): 849
Formation enthalpy at 0 K (meV per atom): 882



DFT (PBE-GGA) results for crystalline MgNiIr2 at its relaxed geometry.

Unit cell a=4.6752 b=4.6752 c=4.6752 alpha=131.72 beta=131.72 gamma=70.68
Element x y z (fractional)
Ir  0.0000  0.0000  0.0000
Ir  0.2500  0.7500  0.5000
Mg  0.5000  0.5000  0.0000
Ni  0.7500  0.2500  0.5000

Properties
Formation enthalpy at 0 K (meV per atom): -123



DFT (PBE-GGA) results for crystalline Mg3NiIr2 at its relaxed geometry.

Unit cell a=3.1906 b=4.3160 c=6.8414 alpha=108.39 beta=90.00 gamma=90.00
Element x y z (fractional)
Mg  0.5000  0.5000  0.0000
Mg  0.5000  0.8327  0.6655
Mg  0.5000  0.1673  0.3345
Ni  0.0000  0.0000  0.0000
Ir  0.0000  0.3372  0.6745
Ir  0.0000  0.6628  0.3255

Properties
Formation enthalpy at 0 K (meV per atom): -255



DFT (PBE-GGA) results for crystalline MgNi2Ir2 at its relaxed geometry.

Unit cell a=7.2134 b=7.2134 c=2.7516 alpha=90.00 beta=90.00 gamma=90.00
Element x y z (fractional)
Ni  0.1695  0.6695  0.5000
Ni  0.6695  0.8305  0.5000
Ni  0.8305  0.3305  0.5000
Ni  0.3305  0.1695  0.5000
Mg  0.0000  0.0000  0.0000
Mg  0.5000  0.5000  0.0000
Ir  0.3703  0.8703  0.0000
Ir  0.8703  0.6297  0.0000
Ir  0.6297  0.1297  0.0000
Ir  0.1297  0.3703  0.0000

Properties
Excess energy over the best structure of this formula in the dataset (meV/atom): 22
Formation enthalpy at 0 K (meV per atom): 36



DFT (PBE-GGA) results for crystalline MgNiIr2 at its relaxed geometry.

Unit cell a=4.6216 b=4.6216 c=2.7408 alpha=90.00 beta=90.00 gamma=107.86
Element x y z (fractional)
Ir  0.0000  0.0000  0.0000
Ir  0.5000  0.5000  0.0000
Mg  0.5000  0.0000  0.5000
Ni  0.0000  0.5000  0.5000

Properties
Formation enthalpy at 0 K (meV per atom): -89



DFT (PBE-GGA) results for crystalline MgNi2Ir at its relaxed geometry.

Unit cell a=4.3501 b=4.3501 c=2.7617 alpha=90.00 beta=90.00 gamma=90.00
Element x y z (fractional)
Ir  0.5000  0.0000  0.5000
Mg  0.0000  0.5000  0.5000
Ni  0.0000  0.0000  0.0000
Ni  0.5000  0.5000  0.0000

Properties
Formation enthalpy at 0 K (meV per atom): -113



DFT (PBE-GGA) results for crystalline MgNi4Ir at its relaxed geometry.

Unit cell a=4.7372 b=4.7372 c=4.7372 alpha=60.00 beta=60.00 gamma=60.00
Last column: magnetic moment on the atom in μB.
Element x y z (fractional)
Mg  0.0000  0.0000  0.0000  -0.01
Ni  0.8746  0.3751  0.3751  0.61
Ni  0.3751  0.3751  0.8746  0.61
Ni  0.3751  0.8746  0.3751  0.61
Ni  0.3751  0.3751  0.3751  0.61
Ir  0.7500  0.7500  0.7500  0.58

Properties
Formation enthalpy at 0 K (meV per atom): -37



DFT (PBE-GGA) results for crystalline MgNi2Ir at its relaxed geometry.

Unit cell a=8.5979 b=8.5979 c=8.5979 alpha=18.12 beta=18.12 gamma=18.12
Last column: magnetic moment on the atom in μB.
Element x y z (fractional)
Ir  0.2500  0.2500  0.2500  0.30
Mg  0.7500  0.7500  0.7500  0.00
Ni  0.9985  0.9985  0.9985  0.27
Ni  0.5015  0.5015  0.5015  0.27

Properties
Formation enthalpy at 0 K (meV per atom): 63



Values of V, in order: 95.05; 94.84; 52.37; 116.57; 53.42; 56.91; 52.46; 52.63; 53.21; 52.89; 56.31; 269.55; 74.20; 56.58; 55.86; 56.49; 56.86; 88.22; 53.29; 56.60; 94.60; 55.78; 89.40; 143.18; 55.72; 52.26; 75.17; 53.69, all in Å³ per cell.